Compound: TaSbMo2
Source: Alexandria
Functional: PBE-GGA
Structure: relaxed

Cell lengths 3.033, 4.284, 5.604 Å; angles 90.00, 98.67, 90.00 degrees
Space group P2/m (No. 10)
One atom of each set of equivalent atoms:
Ta1 0.000 0.000 0.000
Sb1 0.000 0.000 0.500
Mo1 0.419 0.500 0.232

* E_form (uncorrected): 0.24 eV per atom
* Fermi-level density of states: 2.6 states/eV per cell
* crystal system: monoclinic
* M_tot: 0.00 μB per formula unit